No. 1
Computed, not measured: crystalline TbDy2ErSe6 at its relaxed geometry at the PBE-GGA level of DFT.

Output
space group: R3 (146)
uncorrected formation energy: -1.8518 eV/atom
volume: 290.59 Å³/f.u.

abc: 7.6965 7.6965 7.6965
angles: 55.75 55.75 55.75
Fractional positions:
1 Tb 0.0000 0.0000 0.0000
2 Dy 0.3031 0.3031 0.3031
3 Dy 0.8039 0.8039 0.8039
4 Er 0.4988 0.4988 0.4988
5 Se 0.0981 0.4031 0.7049
6 Se 0.2096 0.8984 0.5963
7 Se 0.4031 0.7049 0.0981
8 Se 0.5963 0.2096 0.8984
9 Se 0.7049 0.0981 0.4031
10 Se 0.8984 0.5963 0.2096

No. 2
Computed, not measured: crystalline Rb2ReSeCl6 at its relaxed geometry at the PBE-GGA level of DFT.

Output
space group: I4/mmm (139)
uncorrected formation energy: -0.8237 eV/atom
volume: 307.97 Å³/f.u.

abc: 7.3852 7.3852 7.3852
angles: 112.28 112.28 104.00
Fractional positions:
1 Rb 0.2500 0.7500 0.5000
2 Rb 0.7500 0.2500 0.5000
3 Re 0.0000 0.0000 0.0000
4 Se 0.5000 0.5000 0.0000
5 Cl 0.2065 0.2065 0.4130
6 Cl 0.2065 0.7935 0.0000
7 Cl 0.2490 0.2490 0.0000
8 Cl 0.7510 0.7510 0.0000
9 Cl 0.7935 0.2065 0.0000
10 Cl 0.7935 0.7935 0.5870

No. 3
Computed, not measured: crystalline BaNa4As4 at its relaxed geometry at the PBE-GGA level of DFT.

Output
space group: P4_2/n (86)
formation enthalpy at 0 K: -0.408 eV per atom
volume: 269.86 Å³/f.u.

abc: 9.5495 9.5495 5.9184
angles: 90.00 90.00 90.00
Fractional positions:
1 Ba 0.2500 0.2500 0.2500
2 Ba 0.7500 0.7500 0.7500
3 Na 0.1042 0.6354 0.1198
4 Na 0.1354 0.8958 0.6198
5 Na 0.3646 0.6042 0.6198
6 Na 0.3958 0.8646 0.1198
7 Na 0.6042 0.1354 0.8802
8 Na 0.6354 0.3958 0.3802
9 Na 0.8646 0.1042 0.3802
10 Na 0.8958 0.3646 0.8802
11 As 0.0536 0.5868 0.6220
12 As 0.0868 0.9464 0.1220
13 As 0.4132 0.5536 0.1220
14 As 0.4464 0.9132 0.6220
15 As 0.5536 0.0868 0.3780
16 As 0.5868 0.4464 0.8780
17 As 0.9132 0.0536 0.8780
18 As 0.9464 0.4132 0.3780

No. 4
Computed, not measured: crystalline LaMn2Pb at its relaxed geometry at the PBE-GGA level of DFT.

Output
space group: Pmmm (47)
formation enthalpy at 0 K: 0.326 eV per atom
volume: 98.48 Å³/f.u.

abc: 3.4401 4.7713 5.9998
angles: 90.00 90.00 90.00
Fractional positions:
1 La 0.0000 0.0000 0.0000
2 Mn 0.5000 0.5000 0.2319
3 Mn 0.5000 0.5000 0.7681
4 Pb 0.5000 0.0000 0.5000

No. 5
Computed, not measured: crystalline CrReHg2Mo at its relaxed geometry at the PBE-GGA level of DFT.

Output
space group: P4/mmm (123)
formation enthalpy at 0 K: 1.720 eV per atom
volume: 110.79 Å³/f.u.

abc: 4.9974 4.9974 4.4360
angles: 90.00 90.00 90.00
Fractional positions:
1 Cr 0.0000 0.0000 0.0000
2 Re 0.0000 0.0000 0.5000
3 Hg 0.0000 0.5000 0.0000
4 Hg 0.5000 0.0000 0.0000
5 Mo 0.5000 0.5000 0.5000

No. 6
Computed, not measured: crystalline CaNiBi3 at its relaxed geometry at the PBE-GGA level of DFT.

Output
space group: Pm-3m (221)
distance to the lowest polymorph of the same formula: 1161.2 meV per atom
formation enthalpy at 0 K: 1.090 eV per atom
volume: 190.45 Å³/f.u.

abc: 5.7534 5.7534 5.7534
angles: 90.00 90.00 90.00
Fractional positions:
1 Ca 0.0000 0.0000 0.0000
2 Ni 0.5000 0.5000 0.5000
3 Bi 0.0000 0.0000 0.5000
4 Bi 0.0000 0.5000 0.0000
5 Bi 0.5000 0.0000 0.0000

No. 7
Computed, not measured: crystalline BeBi2Pd8 at its relaxed geometry at the PBE-GGA level of DFT.

Output
space group: C2/m (12)
formation enthalpy at 0 K: -0.241 eV per atom
volume: 185.19 Å³/f.u.

abc: 7.7977 7.7977 5.8795
angles: 111.80 111.80 34.21
Fractional positions:
1 Be 0.0000 0.0000 0.0000
2 Bi 0.3229 0.3229 0.3208
3 Bi 0.6771 0.6771 0.6792
4 Pd 0.1189 0.1189 0.3796
5 Pd 0.1281 0.1281 0.8886
6 Pd 0.3140 0.3140 0.8025
7 Pd 0.4973 0.4973 0.2311
8 Pd 0.5027 0.5027 0.7689
9 Pd 0.6860 0.6860 0.1975
10 Pd 0.8719 0.8719 0.1114
11 Pd 0.8811 0.8811 0.6204

No. 8
Computed, not measured: crystalline GdEr2Cd at its relaxed geometry at the PBE-GGA level of DFT.

Output
space group: R-3m (166)
distance to the lowest polymorph of the same formula: 70.1 meV per atom
formation enthalpy at 0 K: -0.068 eV per atom
volume: 117.02 Å³/f.u.

abc: 10.9511 10.9511 10.9511
angles: 18.62 18.62 18.62
Fractional positions:
1 Gd 0.0000 0.0000 0.0000
2 Er 0.2440 0.2440 0.2440
3 Er 0.7560 0.7560 0.7560
4 Cd 0.5000 0.5000 0.5000

No. 9
Computed, not measured: crystalline TlAgSb2S4 at its relaxed geometry at the PBE-GGA level of DFT.

Output
space group: Cmcm (63)
uncorrected formation energy: -0.1922 eV/atom
volume: 199.86 Å³/f.u.

abc: 6.8589 6.8589 15.0508
angles: 90.00 90.00 145.63
Fractional positions:
1 Tl 0.1035 0.8965 0.7500
2 Tl 0.8965 0.1035 0.2500
3 Ag 0.1790 0.8210 0.2500
4 Ag 0.8210 0.1790 0.7500
5 Sb 0.3665 0.6335 0.5596
6 Sb 0.3665 0.6335 0.9404
7 Sb 0.6335 0.3665 0.0596
8 Sb 0.6335 0.3665 0.4404
9 S 0.0000 0.0000 0.0000
10 S 0.0000 0.0000 0.5000
11 S 0.2702 0.7298 0.0967
12 S 0.2702 0.7298 0.4033
13 S 0.4322 0.5678 0.7500
14 S 0.5678 0.4322 0.2500
15 S 0.7298 0.2702 0.5967
16 S 0.7298 0.2702 0.9033

No. 10
Computed, not measured: crystalline SrCe2SiN4 at its relaxed geometry at the PBE-GGA level of DFT.

Output
space group: Cmcm (63)
uncorrected formation energy: -1.1566 eV/atom
volume: 124.48 Å³/f.u.

abc: 6.2839 6.2839 11.9139
angles: 90.00 90.00 148.05
Fractional positions:
1 Sr 0.0917 0.9083 0.7500
2 Sr 0.9083 0.0917 0.2500
3 Ce 0.3678 0.6322 0.5431
4 Ce 0.3678 0.6322 0.9569
5 Ce 0.6322 0.3678 0.0431
6 Ce 0.6322 0.3678 0.4569
7 Si 0.1847 0.8153 0.2500
8 Si 0.8153 0.1847 0.7500
9 N 0.0000 0.0000 0.0000
10 N 0.0000 0.0000 0.5000
11 N 0.2667 0.7333 0.1301
12 N 0.2667 0.7333 0.3699
13 N 0.3946 0.6054 0.7500
14 N 0.6054 0.3946 0.2500
15 N 0.7333 0.2667 0.6301
16 N 0.7333 0.2667 0.8699

No. 11
Computed, not measured: crystalline Li2TlReBr8 at its relaxed geometry at the PBE-GGA level of DFT.

Output
space group: P-1 (2)
uncorrected formation energy: -0.7471 eV/atom
volume: 382.81 Å³/f.u.

abc: 6.7689 7.1105 8.7102
angles: 68.22 88.33 79.78
Fractional positions:
1 Li 0.0244 0.1693 0.3162
2 Li 0.9756 0.8307 0.6838
3 Tl 0.5000 0.5000 0.5000
4 Re 0.5000 0.5000 0.0000
5 Br 0.0875 0.7797 0.4245
6 Br 0.1628 0.7309 0.9642
7 Br 0.3667 0.3002 0.8571
8 Br 0.4004 0.2595 0.2765
9 Br 0.5996 0.7405 0.7235
10 Br 0.6333 0.6998 0.1429
11 Br 0.8372 0.2691 0.0358
12 Br 0.9125 0.2203 0.5755

No. 12
Computed, not measured: crystalline Cs2YBI6 at its relaxed geometry at the PBE-GGA level of DFT.

Output
space group: Fm-3m (225)
uncorrected formation energy: -0.8407 eV/atom
volume: 425.49 Å³/f.u.

abc: 8.4424 8.4424 8.4424
angles: 60.00 60.00 60.00
Fractional positions:
1 Cs 0.2500 0.2500 0.2500
2 Cs 0.7500 0.7500 0.7500
3 Y 0.0000 0.0000 0.0000
4 B 0.5000 0.5000 0.5000
5 I 0.2547 0.2547 0.7453
6 I 0.2547 0.7453 0.2547
7 I 0.2547 0.7453 0.7453
8 I 0.7453 0.2547 0.2547
9 I 0.7453 0.2547 0.7453
10 I 0.7453 0.7453 0.2547